4
Lattice="3.045 0.000 0.000 0.000 3.045 0.000 0.000 0.000 5.671" Properties=species:S:1:pos:R:3 comment="PBE LiRe2Ni, relaxed" dft_energy_ev_per_cell=-31.8 dos_ef_per_ev_atom=0.756 polymorph_energy_ev_per_atom=0.071 pbc="T T T"
Li 0.000 0.000 0.000
Re 0.000 0.000 2.751
Re 1.522 1.522 4.173
Ni 1.522 1.522 1.143